(1)
## AcErSi2 (PBE)

Data for a relaxed structure of AcErSi2.

Unit cell a=8.675 b=4.013 c=11.638 alpha=90.00 beta=90.00 gamma=90.00
Fractional coordinates of all 16 atoms:
Ac 0.131 0.250 0.132
Ac 0.369 0.750 0.632
Ac 0.631 0.250 0.368
Ac 0.869 0.750 0.868
Er 0.001 0.750 0.386
Er 0.499 0.250 0.886
Er 0.501 0.750 0.114
Er 0.999 0.250 0.614
Si 0.171 0.250 0.824
Si 0.239 0.250 0.434
Si 0.261 0.750 0.934
Si 0.329 0.750 0.324
Si 0.671 0.250 0.676
Si 0.739 0.250 0.066
Si 0.761 0.750 0.566
Si 0.829 0.750 0.176

Energy relative to the elements, uncorrected = -0.59 eV per atom
Energy = -87.5 eV for the cell shown

(2)
## Pt3Au2 (PBE)

Data for a relaxed structure of Pt3Au2.

Unit cell a=11.934 b=11.934 c=11.934 alpha=13.69 beta=13.69 gamma=13.69
Fractional coordinates of all 5 atoms:
Pt 0.000 0.000 0.000
Pt 0.398 0.398 0.398
Pt 0.602 0.602 0.602
Au 0.202 0.202 0.202
Au 0.798 0.798 0.798

Energy = -24.6 eV for the cell shown
Energy relative to the elements = 0.0247 eV per atom

Number 1: offset from the most stable computed form 0.0000 eV/atom. Number 2: offset from the most stable computed form 0.0273 eV/atom.